Entry 1:
First-principles (PBE-GGA) data for crystalline Sm6Bi3Sb2Se at its relaxed geometry, as listed in the Alexandria database.

Output
M_tot = 0.00 μB/cell
Formation energy (no corrections) = -1.1571 eV/atom

a = 4.472 Å, b = 8.947 Å, c = 9.983 Å
α = 102.95°, β = 102.94°, γ = 90.00°
Sites, in units of the cell vectors:
Sm (0.000, 0.758, 0.000)
Sm (0.000, 0.242, 0.000)
Sm (0.332, 0.420, 0.664)
Sm (0.668, 0.580, 0.336)
Sm (0.338, 0.915, 0.676)
Sm (0.662, 0.085, 0.324)
Bi (0.832, 0.165, 0.664)
Bi (0.168, 0.835, 0.336)
Bi (0.500, 0.500, 0.000)
Sb (0.835, 0.669, 0.669)
Sb (0.165, 0.331, 0.331)
Se (0.500, 0.000, 0.000)



Entry 2:
First-principles (PBE-GGA) data for crystalline LaNd3Tm6 at its relaxed geometry, as listed in the Alexandria database.

Output
ΔH_f (0 K) = 44.5 meV per atom
M_tot = 0.00 μB/cell
E above lowest polymorph = 0 meV/atom

a = 3.555 Å, b = 16.710 Å, c = 14.560 Å
α = 131.58°, β = 90.00°, γ = 90.00°
Sites, in units of the cell vectors:
Nd (0.250, 0.419, 0.618)
Nd (0.250, 0.527, 0.130)
Nd (0.250, 0.869, 0.885)
Nd (0.750, 0.581, 0.382)
Nd (0.750, 0.131, 0.115)
Nd (0.750, 0.473, 0.870)
Tm (0.750, 0.841, 0.659)
Tm (0.250, 0.375, 0.340)
Tm (0.250, 0.081, 0.873)
Tm (0.750, 0.919, 0.127)
Tm (0.250, 0.783, 0.410)
Tm (0.750, 0.323, 0.091)
Tm (0.750, 0.217, 0.590)
Tm (0.250, 0.270, 0.840)
Tm (0.250, 0.159, 0.341)
Tm (0.750, 0.730, 0.160)
Tm (0.750, 0.625, 0.660)
Tm (0.250, 0.677, 0.909)
La (0.750, 0.028, 0.628)
La (0.250, 0.972, 0.372)



Entry 3:
First-principles (PBE-GGA) data for crystalline Pm3Pr2Tl3 at its relaxed geometry, as listed in the Alexandria database.

Output
ΔH_f (0 K) = -275.1 meV per atom
M_tot = 0.00 μB/cell

a = 4.548 Å, b = 5.074 Å, c = 11.149 Å
α = 103.15°, β = 101.77°, γ = 90.00°
Sites, in units of the cell vectors:
Pm (0.500, 0.000, 0.000)
Pm (0.618, 0.618, 0.235)
Pm (0.382, 0.382, 0.765)
Tl (0.124, 0.124, 0.249)
Tl (0.876, 0.876, 0.751)
Tl (0.000, 0.500, 0.000)
Pr (0.263, 0.763, 0.526)
Pr (0.737, 0.237, 0.474)



Entry 4:
First-principles (PBE-GGA) data for crystalline CdBi2SbAu4 at its relaxed geometry, as listed in the Alexandria database.

Output
M_tot = 0.00 μB/cell
Formation energy (no corrections) = -0.0219 eV/atom

a = 5.860 Å, b = 5.860 Å, c = 6.990 Å
α = 111.65°, β = 111.65°, γ = 96.88°
Sites, in units of the cell vectors:
Au (0.183, 0.183, 0.494)
Au (0.938, 0.439, 0.000)
Au (0.689, 0.689, 0.506)
Au (0.439, 0.938, 0.000)
Cd (0.939, 0.939, 0.000)
Bi (0.186, 0.686, 0.500)
Bi (0.686, 0.186, 0.500)
Sb (0.438, 0.438, 0.000)



What did the second record say?
First-principles (PBE-GGA) data for crystalline LaNd3Tm6 at its relaxed geometry, as listed in the Alexandria database.

Output
ΔH_f (0 K) = 44.5 meV per atom
M_tot = 0.00 μB/cell
E above lowest polymorph = 0 meV/atom

a = 3.555 Å, b = 16.710 Å, c = 14.560 Å
α = 131.58°, β = 90.00°, γ = 90.00°
Sites, in units of the cell vectors:
Nd (0.250, 0.419, 0.618)
Nd (0.250, 0.527, 0.130)
Nd (0.250, 0.869, 0.885)
Nd (0.750, 0.581, 0.382)
Nd (0.750, 0.131, 0.115)
Nd (0.750, 0.473, 0.870)
Tm (0.750, 0.841, 0.659)
Tm (0.250, 0.375, 0.340)
Tm (0.250, 0.081, 0.873)
Tm (0.750, 0.919, 0.127)
Tm (0.250, 0.783, 0.410)
Tm (0.750, 0.323, 0.091)
Tm (0.750, 0.217, 0.590)
Tm (0.250, 0.270, 0.840)
Tm (0.250, 0.159, 0.341)
Tm (0.750, 0.730, 0.160)
Tm (0.750, 0.625, 0.660)
Tm (0.250, 0.677, 0.909)
La (0.750, 0.028, 0.628)
La (0.250, 0.972, 0.372)